DFT (PBE) results for a geometry-optimized ScFe2Mo structure.

Unit cell a=4.349 b=4.349 c=2.957 alpha=90.00 beta=90.00 gamma=90.01
Each line ends with the local moment (μB).
Positions (direct):
Fe (0.000, 0.000, 0.000)  0.78
Fe (0.500, 0.500, 0.000)  0.78
Mo (0.500, 0.000, 0.500)  -0.17
Sc (0.000, 0.500, 0.500)  -0.19

DFT formation energy   4.71 kJ per mole of atoms
Total DFT energy (no corrections)   -0.6228 Ry/atom

=====

DFT (PBE) results for a geometry-optimized LiAlCdSn structure.

Unit cell a=4.901 b=4.901 c=4.901 alpha=60.00 beta=60.00 gamma=60.00
Positions (direct):
Al (0.500, 0.500, 0.500)
Cd (0.750, 0.750, 0.750)
Li (0.000, 0.000, 0.000)
Sn (0.250, 0.250, 0.250)

DFT formation energy   -6.46 kJ per mole of atoms
Total DFT energy (no corrections)   -0.1992 Ry/atom

=====

DFT (PBE) results for a geometry-optimized La5Er2Tm3 structure.

Unit cell a=10.147 b=10.134 c=11.343 alpha=129.77 beta=129.79 gamma=64.44
Positions (direct):
La (0.117, 0.364, 0.236)
La (0.883, 0.636, 0.764)
La (0.977, 0.227, 0.453)
La (0.482, 0.732, 0.464)
La (0.518, 0.268, 0.536)
La (0.273, 0.523, 0.045)
La (0.023, 0.773, 0.547)
La (0.619, 0.872, 0.236)
La (0.727, 0.477, 0.955)
La (0.381, 0.128, 0.764)
Er (0.525, 0.275, 0.239)
Er (0.213, 0.964, 0.239)
Er (0.475, 0.725, 0.761)
Er (0.787, 0.036, 0.761)
Tm (0.027, 0.780, 0.247)
Tm (0.770, 0.020, 0.040)
Tm (0.973, 0.220, 0.753)
Tm (0.720, 0.468, 0.247)
Tm (0.280, 0.532, 0.753)
Tm (0.230, 0.980, 0.960)

DFT formation energy   15.63 kJ per mole of atoms
Total DFT energy (no corrections)   -0.3348 Ry/atom

=====

Which formula does entry 2 have? LiAlCdSn

=====

Look up the DFT formation energy of the third one. 15.63 kJ per mole of atoms